(1)
{"formula": "Pm3Tm2Pb4", "functional": "GGA-PBE", "state": "relaxed", "polymorph_energy_mev_per_atom": 0.0, "spacegroup": "C2/m, No. 12", "final_energy_ev_per_atom": -4.6771, "e_form_kj_per_mol_atoms": -43.6, "total_magnetization_mub_per_fu": 0.0, "cell": [[-3.555, 2.407, 2.725], [1.130, -4.303, 5.276], [6.906, 5.077, -0.220]], "species": ["Pm", "Pb", "Tm", "Pb", "Pb", "Pb", "Pm", "Tm", "Pm"], "frac_coords": [[0.000, 0.000, 0.000], [0.758, 0.718, 0.516], [0.332, 0.930, 0.665], [0.242, 0.282, 0.484], [0.508, 0.284, 0.016], [0.492, 0.716, 0.984], [0.881, 0.416, 0.762], [0.668, 0.070, 0.335], [0.119, 0.584, 0.238]]}

---

(2)
{"formula": "PmTmPb3", "functional": "GGA-PBE", "state": "relaxed", "spacegroup": "Pm, No. 6", "final_energy_ev_per_atom": -4.4055, "e_form_kj_per_mol_atoms": -32.4, "total_magnetization_mub_per_fu": 0.0, "cell": [[4.526, 0.012, -0.007], [-0.021, 7.888, -1.299], [0.009, 1.902, 7.911]], "species": ["Pb", "Pb", "Pb", "Pb", "Pb", "Tm", "Pm", "Pm", "Tm", "Pb"], "frac_coords": [[0.363, 0.232, 0.993], [0.863, 0.341, 0.676], [0.863, 0.538, 0.089], [0.363, 0.442, 0.395], [0.863, 0.926, 0.917], [0.363, 0.071, 0.622], [0.363, 0.619, 0.768], [0.863, 0.156, 0.286], [0.363, 0.818, 0.214], [0.863, 0.800, 0.506]]}

---

(3)
{"formula": "Pm5TmPb5", "functional": "GGA-PBE", "state": "relaxed", "spacegroup": "C2/m, No. 12", "final_energy_ev_per_atom": -4.5654, "e_form_kj_per_mol_atoms": -30.3, "total_magnetization_mub_per_fu": 0.0, "cell": [[6.216, 0.000, 0.000], [-3.108, 8.320, 0.579], [0.000, -2.419, 6.936]], "species": ["Pm", "Pb", "Pb", "Pm", "Pm", "Tm", "Pm", "Pb", "Pb", "Pm", "Pb"], "frac_coords": [[0.000, 0.000, 0.500], [0.837, 0.675, 0.634], [0.163, 0.325, 0.366], [0.342, 0.684, 0.213], [0.325, 0.650, 0.706], [0.000, 0.000, 0.000], [0.658, 0.316, 0.787], [0.165, 0.330, 0.890], [0.500, 0.000, 0.000], [0.675, 0.350, 0.294], [0.835, 0.670, 0.110]]}

---

(4)
{"formula": "Pm4TmPb3", "functional": "GGA-PBE", "state": "relaxed", "spacegroup": "C2/m, No. 12", "final_energy_ev_per_atom": -4.5816, "e_form_kj_per_mol_atoms": -24.8, "total_magnetization_mub_per_fu": 0.0, "cell": [[3.556, 0.000, 0.000], [0.000, 6.066, -1.646], [-1.778, -6.091, 13.098]], "species": ["Pb", "Pm", "Pm", "Pb", "Pm", "Pb", "Tm", "Pm"], "frac_coords": [[0.248, 0.264, 0.496], [0.378, 0.961, 0.756], [0.868, 0.424, 0.735], [0.752, 0.736, 0.504], [0.132, 0.576, 0.265], [0.000, 0.500, 0.000], [0.500, 0.000, 0.000], [0.622, 0.039, 0.244]]}

---

(5)
{"formula": "Pm2Tm2Pb3", "functional": "GGA-PBE", "state": "relaxed", "spacegroup": "C2/m, No. 12", "final_energy_ev_per_atom": -4.5190, "e_form_kj_per_mol_atoms": -28.4, "total_magnetization_mub_per_fu": 0.0, "cell": [[-2.108, 1.882, 4.396], [-5.453, -3.408, -1.156], [3.290, -5.837, 0.971]], "species": ["Pm", "Tm", "Pb", "Pb", "Tm", "Pb", "Pm"], "frac_coords": [[0.857, 0.597, 0.714], [0.428, 0.237, 0.856], [0.740, 0.158, 0.479], [0.000, 0.000, 0.000], [0.572, 0.763, 0.144], [0.260, 0.842, 0.521], [0.143, 0.403, 0.286]]}

---

(6)
{"formula": "PmTm2Pb4", "functional": "GGA-PBE", "state": "relaxed", "spacegroup": "C2/m, No. 12", "final_energy_ev_per_atom": -4.4212, "e_form_kj_per_mol_atoms": -33.4, "total_magnetization_mub_per_fu": 0.3, "cell": [[4.859, 0.000, 0.000], [0.000, 4.859, -0.025], [-2.429, -2.373, 9.144]], "species": ["Tm", "Pb", "Pm", "Pb", "Pb", "Tm", "Pb"], "frac_coords": [[0.244, 0.244, 0.488], [0.125, 0.625, 0.250], [0.000, 0.000, 0.000], [0.625, 0.126, 0.250], [0.875, 0.375, 0.750], [0.756, 0.756, 0.512], [0.375, 0.874, 0.750]]}

---

(7)
{"formula": "Pm3TmPb2", "functional": "GGA-PBE", "state": "relaxed", "spacegroup": "Ibam, No. 72", "final_energy_ev_per_atom": -4.7917, "e_form_kj_per_mol_atoms": -42.0, "total_magnetization_mub_per_fu": 0.0, "cell": [[-4.995, 1.981, -3.786], [-2.418, -6.088, 0.004], [-0.981, 3.919, 9.052]], "species": ["Pm", "Tm", "Pm", "Pm", "Pb", "Pb", "Pm", "Tm", "Pb", "Pb", "Pm", "Pm"], "frac_coords": [[0.922, 0.172, 0.345], [0.000, 0.750, 0.000], [0.078, 0.828, 0.655], [0.500, 0.750, 0.000], [0.894, 0.640, 0.281], [0.386, 0.140, 0.281], [0.423, 0.672, 0.345], [0.000, 0.250, 0.000], [0.106, 0.360, 0.719], [0.614, 0.860, 0.719], [0.500, 0.250, 0.000], [0.577, 0.328, 0.655]]}

---

(8)
{"formula": "Pm3Tm7Pb2", "functional": "GGA-PBE", "state": "relaxed", "spacegroup": "P2/m, No. 10", "final_energy_ev_per_atom": -4.4946, "e_form_kj_per_mol_atoms": -7.8, "total_magnetization_mub_per_fu": 0.0, "cell": [[3.624, 0.000, 0.000], [0.000, 5.614, 0.243], [0.000, -1.943, 18.201]], "species": ["Tm", "Pm", "Pb", "Pm", "Tm", "Pb", "Tm", "Pm", "Tm", "Tm", "Tm", "Tm"], "frac_coords": [[0.500, 0.741, 0.460], [0.500, 0.500, 0.000], [0.500, 0.293, 0.707], [0.000, 0.222, 0.363], [0.500, 0.825, 0.833], [0.500, 0.707, 0.293], [0.000, 0.000, 0.000], [0.000, 0.778, 0.637], [0.500, 0.175, 0.167], [0.000, 0.673, 0.149], [0.000, 0.327, 0.851], [0.500, 0.259, 0.540]]}

---

(9)
{"formula": "Pm6TmPb", "functional": "GGA-PBE", "state": "relaxed", "spacegroup": "P4/mmm, No. 123", "final_energy_ev_per_atom": -4.7293, "e_form_kj_per_mol_atoms": -13.9, "total_magnetization_mub_per_fu": 0.0, "cell": [[-3.033, -2.058, -3.396], [3.842, -0.441, -3.164], [2.067, -9.335, 3.811]], "species": ["Pm", "Pm", "Pm", "Pb", "Pm", "Pm", "Pm", "Tm"], "frac_coords": [[0.000, 0.500, 0.755], [0.500, 0.000, 0.755], [0.000, 0.500, 0.245], [0.000, 0.000, 0.000], [0.500, 0.500, 0.000], [0.500, 0.500, 0.500], [0.500, 0.000, 0.245], [0.000, 0.000, 0.500]]}

---

(10)
{"formula": "Pm2TmPb2", "functional": "GGA-PBE", "state": "relaxed", "polymorph_energy_mev_per_atom": 0.0, "spacegroup": "P4/mbm, No. 127", "final_energy_ev_per_atom": -4.7887, "e_form_kj_per_mol_atoms": -49.3, "total_magnetization_mub_per_fu": 0.0, "cell": [[4.554, 0.000, 0.000], [0.000, 8.212, 0.000], [0.000, 0.000, 8.212]], "species": ["Pm", "Pm", "Pm", "Tm", "Pb", "Pb", "Pm", "Tm", "Pb", "Pb"], "frac_coords": [[0.500, 0.332, 0.168], [0.500, 0.832, 0.332], [0.500, 0.668, 0.832], [0.000, 0.000, 0.000], [0.000, 0.863, 0.637], [0.000, 0.137, 0.363], [0.500, 0.168, 0.668], [0.000, 0.500, 0.500], [0.000, 0.363, 0.863], [0.000, 0.637, 0.137]]}

---

(11)
{"formula": "PmTm7Pb2", "functional": "GGA-PBE", "state": "relaxed", "spacegroup": "Cmmm, No. 65", "final_energy_ev_per_atom": -4.0633, "e_form_kj_per_mol_atoms": 27.3, "total_magnetization_mub_per_fu": 0.0, "cell": [[5.377, 0.000, 0.000], [0.000, 8.976, -0.182], [0.000, -4.212, 7.928]], "species": ["Tm", "Pb", "Pb", "Tm", "Tm", "Tm", "Tm", "Tm", "Pm", "Tm"], "frac_coords": [[0.000, 0.223, 0.777], [0.500, 0.694, 0.306], [0.500, 0.306, 0.694], [0.500, 0.303, 0.059], [0.500, 0.697, 0.941], [0.500, 0.941, 0.697], [0.500, 0.500, 0.500], [0.500, 0.059, 0.303], [0.000, 0.000, 0.000], [0.000, 0.777, 0.223]]}

---

(12)
{"formula": "Pm4Tm3Pb4", "functional": "GGA-PBE", "state": "relaxed", "spacegroup": "Amm2, No. 38", "final_energy_ev_per_atom": -4.6124, "e_form_kj_per_mol_atoms": -30.6, "total_magnetization_mub_per_fu": 0.0, "cell": [[4.792, 0.000, 0.000], [-2.396, 6.156, 0.000], [0.000, 0.000, 11.746]], "species": ["Pb", "Pm", "Tm", "Pb", "Tm", "Pm", "Pb", "Pb", "Pm", "Tm", "Pm"], "frac_coords": [[0.932, 0.863, 0.000], [0.071, 0.143, 0.753], [0.281, 0.561, 0.000], [0.961, 0.923, 0.500], [0.365, 0.731, 0.348], [0.071, 0.143, 0.247], [0.751, 0.502, 0.783], [0.751, 0.502, 0.217], [0.587, 0.174, 0.000], [0.365, 0.731, 0.652], [0.662, 0.324, 0.500]]}